# AlPtCl2, PBEsol geometry, DFT meta-GGA SCAN
# Crystal system ... cubic
# Density ... 7.21 Mg/m³
# Energy relative to the elements, uncorrected ... 0.429 eV/atom
# Total magnetization ... 0.00 μB per formula unit
# Offset from the most stable computed form ... 4.74 eV per formula unit
# VASP energy ... -23.046 eV/atom
# N(E_F) ... 10.71 states/eV per cell
data_AlPtCl2
_cell_length_a 6.463
_cell_length_b 6.463
_cell_length_c 6.463
_cell_angle_alpha 90.00
_cell_angle_beta 90.00
_cell_angle_gamma 90.00
_symmetry_space_group_name_H-M 'F m -3 m'
_symmetry_Int_Tables_number 225
_symmetry_space_group_name_Hall '-F 4 2 3'
loop_
_atom_site_label
_atom_site_fract_x
_atom_site_fract_y
_atom_site_fract_z
_atom_site_occupancy
Al1 0.000 0.000 0.000 1
Pt1 0.000 0.000 0.500 1
Cl1 0.250 0.250 0.250 1


# AlPtCl2, PBEsol geometry, DFT meta-GGA SCAN
# Crystal system ... orthorhombic
# Density ... 6.68 Mg/m³
# Energy relative to the elements, uncorrected ... -0.069 eV/atom
# Total magnetization ... 0.00 μB per formula unit
# Offset from the most stable computed form ... 2.75 eV per formula unit
# VASP energy ... -23.544 eV/atom
# N(E_F) ... 8.34 states/eV per cell
data_AlPtCl2
_cell_length_a 5.751
_cell_length_b 6.999
_cell_length_c 7.241
_cell_angle_alpha 90.00
_cell_angle_beta 90.00
_cell_angle_gamma 90.00
_symmetry_space_group_name_H-M 'F m m m'
_symmetry_Int_Tables_number 69
_symmetry_space_group_name_Hall '-F 2 2'
loop_
_atom_site_label
_atom_site_fract_x
_atom_site_fract_y
_atom_site_fract_z
_atom_site_occupancy
Al1 0.000 0.000 0.000 1
Pt1 0.000 0.000 0.500 1
Cl1 0.000 0.250 0.250 1